No. 1
A plane-wave DFT calculation with PBE-GGA was carried out for a relaxed structure of ReIrAu2.

- DFT formation energy: 0.560 eV/atom
- DOS(E_F): 5.22 states/eV per cell
- VASP energy: -6.41 eV per atom
- M_tot: 0.005 μB per formula unit

Unit cell a=2.787 b=4.780 c=4.957 alpha=90.00 beta=90.00 gamma=90.00
Space group Pmmm (No. 47)
Asymmetric unit:
Re 0.000 0.000 0.000 [1 per cell]
Ir 0.500 0.500 0.000 [1 per cell]
Au 0.000 0.500 0.500 [1 per cell]
Au 0.500 0.000 0.500 [1 per cell]



No. 2
A plane-wave DFT calculation with PBE-GGA was carried out for a relaxed structure of BaYRu3.

- DFT formation energy: 1.877 eV/atom
- DOS(E_F): 8.34 states/eV per cell
- VASP energy: -5.37 eV per atom
- M_tot: 0.850 μB per formula unit

Unit cell a=4.970 b=4.970 c=4.970 alpha=90.00 beta=90.00 gamma=90.00
Space group Pm-3m (No. 221)
Asymmetric unit:
Ba 0.000 0.000 0.000 [1 per cell]
Y 0.500 0.500 0.500 [1 per cell]
Ru 0.000 0.000 0.500 [3 per cell]



No. 3
A plane-wave DFT calculation with PBE-GGA was carried out for a relaxed structure of LuPaTlTc.

- DFT formation energy: 0.105 eV/atom
- DOS(E_F): 15.79 states/eV per cell
- VASP energy: -6.58 eV per atom
- M_tot: 0.000 μB per formula unit

Unit cell a=7.166 b=7.166 c=7.166 alpha=90.00 beta=90.00 gamma=90.00
Space group F-43m (No. 216)
Asymmetric unit:
Lu 0.000 0.000 0.000 [4 per cell]
Pa 0.000 0.000 0.500 [4 per cell]
Tl 0.250 0.250 0.750 [4 per cell]
Tc 0.250 0.250 0.250 [4 per cell]



No. 4
A plane-wave DFT calculation with PBE-GGA was carried out for a relaxed structure of BaMgAs2Se.

- DOS(E_F): 4.82 states/eV per cell
- VASP energy: -3.73 eV per atom
- M_tot: 0.000 μB per formula unit

Unit cell a=5.072 b=5.072 c=5.361 alpha=90.00 beta=90.00 gamma=90.00
Space group P4/mmm (No. 123)
Asymmetric unit:
Ba 0.000 0.000 0.000 [1 per cell]
Mg 0.500 0.500 0.500 [1 per cell]
As 0.000 0.500 0.500 [2 per cell]
Se 0.500 0.500 0.000 [1 per cell]



No. 5
A plane-wave DFT calculation with PBE-GGA was carried out for a relaxed structure of TbI3Cl.

- DOS(E_F): 7.16 states/eV per cell
- VASP energy: -3.45 eV per atom
- M_tot: 0.000 μB per formula unit

Unit cell a=13.048 b=7.094 c=8.668 alpha=90.00 beta=90.00 gamma=90.00
Space group Ima2 (No. 46)
Asymmetric unit:
Tb 0.250 0.247 0.000 [4 per cell]
I 0.012 0.249 0.000 [8 per cell]
I 0.250 0.550 0.752 [4 per cell]
Cl 0.250 0.031 0.749 [4 per cell]



No. 6
A plane-wave DFT calculation with PBE-GGA was carried out for a relaxed structure of Ba5SrAg2.

- DFT formation energy: -0.095 eV/atom
- DOS(E_F): 18.07 states/eV per cell
- VASP energy: -2.22 eV per atom
- M_tot: 0.003 μB per formula unit

Unit cell a=4.941 b=9.068 c=18.335 alpha=90.00 beta=90.00 gamma=90.00
Space group Immm (No. 71)
Asymmetric unit:
Ba 0.000 0.000 0.000 [2 per cell]
Ba 0.000 0.249 0.345 [8 per cell]
Sr 0.000 0.500 0.000 [2 per cell]
Ag 0.000 0.000 0.195 [4 per cell]



No. 7
A plane-wave DFT calculation with PBE-GGA was carried out for a relaxed structure of Cs2UBr2Cl4.

- DOS(E_F): 9.73 states/eV per cell
- VASP energy: -4.46 eV per atom
- M_tot: 2.000 μB per formula unit

Unit cell a=13.678 b=7.713 c=6.396 alpha=90.00 beta=90.42 gamma=90.00
Space group C2/m (No. 12)
Asymmetric unit:
Cs 0.163 0.000 0.238 [4 per cell]
U 0.000 0.500 0.500 [2 per cell]
Br 0.175 0.500 0.267 [4 per cell]
Cl 0.076 0.255 0.733 [8 per cell]



No. 8
A plane-wave DFT calculation with PBE-GGA was carried out for a relaxed structure of Co2NiS4.

- DOS(E_F): 33.86 states/eV per cell
- VASP energy: -5.67 eV per atom
- M_tot: 0.000 μB per formula unit

Unit cell a=9.341 b=9.341 c=9.341 alpha=90.00 beta=90.00 gamma=90.00
Space group Fd-3m (No. 227, origin choice 2)
Asymmetric unit:
Co 0.000 0.000 0.000 [16 per cell]
Ni 0.125 0.125 0.625 [8 per cell]
S 0.009 0.009 0.241 [32 per cell]



Question: Which formula does entry 6 have?
Answer: Ba5SrAg2



Question: Among the records above, which one has the lowest VASP energy?
Answer: LuPaTlTc



Question: What is the M_tot in the sixth record?
Answer: 0.003 μB per formula unit



Question: What is the formula in the seventh record?
Answer: Cs2UBr2Cl4